(1)
# Ba3NpIn2O9 (PBE, relaxed)
# - calculated volume (Å³/cell) = 238.6
# - formation energy (no corrections) (eV/atom) = -2.466
# - mass density (g/cm3) = 7.12
data_Ba3NpIn2O9
_symmetry_space_group_name_H-M 'P -3 m 1'
_symmetry_Int_Tables_number 164
_symmetry_space_group_name_Hall '-P 3 2"'
_cell_length_a 6.0737
_cell_length_b 6.0737
_cell_length_c 7.4671
_cell_angle_alpha 90.00
_cell_angle_beta 90.00
_cell_angle_gamma 120.00
loop_
_atom_site_label
_atom_site_type_symbol
_atom_site_fract_x
_atom_site_fract_y
_atom_site_fract_z
Ba1 Ba 0.0000 0.0000 0.0000
Ba2 Ba 0.3333 0.6667 0.6957
Np1 Np 0.0000 0.0000 0.5000
In1 In 0.3333 0.6667 0.1618
O1 O 0.0000 0.5000 0.0000
O2 O 0.1612 0.3225 0.3396

---

(2)
# UB4O8 (PBE, relaxed)
# - calculated volume (Å³/cell) = 456.2
# - formation energy (no corrections) (eV/atom) = -2.546
# - mass density (g/cm3) = 5.96
data_UB4O8
_symmetry_space_group_name_H-M 'C 1 2/c 1'
_symmetry_Int_Tables_number 15
_symmetry_space_group_name_Hall '-C 2yc'
_cell_length_a 16.0280
_cell_length_b 4.2645
_cell_length_c 7.3112
_cell_angle_alpha 90.00
_cell_angle_beta 114.08
_cell_angle_gamma 90.00
loop_
_atom_site_label
_atom_site_type_symbol
_atom_site_fract_x
_atom_site_fract_y
_atom_site_fract_z
U1 U 0.0000 0.1516 0.2500
B1 B 0.1402 0.3129 0.9969
B2 B 0.1951 0.1973 0.7054
O1 O 0.0520 0.2278 0.9981
O2 O 0.1323 0.1952 0.8032
O3 O 0.1538 0.3502 0.5120
O4 O 0.2164 0.1447 0.1698

---

(3)
# Li3SmDy2Te6 (PBE, relaxed)
# - calculated volume (Å³/cell) = 700.3
# - formation energy (no corrections) (eV/atom) = -1.294
# - mass density (g/cm3) = 5.98
data_Li3SmDy2Te6
_symmetry_space_group_name_H-M 'C 1 2/m 1'
_symmetry_Int_Tables_number 12
_symmetry_space_group_name_Hall '-C 2y'
_cell_length_a 7.5639
_cell_length_b 13.1022
_cell_length_c 7.5027
_cell_angle_alpha 90.00
_cell_angle_beta 109.63
_cell_angle_gamma 90.00
loop_
_atom_site_label
_atom_site_type_symbol
_atom_site_fract_x
_atom_site_fract_y
_atom_site_fract_z
Li1 Li 0.0000 0.0000 0.0000
Li2 Li 0.0000 0.3342 0.0000
Sm1 Sm 0.0000 0.5000 0.5000
Dy1 Dy 0.0000 0.1668 0.5000
Te1 Te 0.2454 0.1691 0.2435
Te2 Te 0.2475 0.0000 0.7571

---

(4)
# MgBr (PBE, relaxed)
# - calculated volume (Å³/cell) = 233.7
# - formation energy (no corrections) (eV/atom) = -0.482
# - mass density (g/cm3) = 2.96
data_MgBr
_symmetry_space_group_name_H-M 'I 41/a m d'
_symmetry_Int_Tables_number 141
_cell_length_a 4.1193
_cell_length_b 4.1193
_cell_length_c 13.7750
_cell_angle_alpha 90.00
_cell_angle_beta 90.00
_cell_angle_gamma 90.00
loop_
_symmetry_equiv_pos_as_xyz
'x,y,z'
'-x,-y,-z'
'-y+1/4,x+3/4,z+1/4'
'y+1/4,-x+3/4,-z+1/4'
'-x+1/2,-y,z+1/2'
'x+1/2,y,-z+1/2'
'y+1/4,-x+1/4,z+3/4'
'-y+1/4,x+1/4,-z+3/4'
'x,-y,-z'
'-x,y,z'
'-y+1/4,-x+1/4,-z+3/4'
'y+1/4,x+1/4,z+3/4'
'-x+1/2,y,-z+1/2'
'x+1/2,-y,z+1/2'
'y+1/4,x+3/4,-z+1/4'
'-y+1/4,-x+3/4,z+1/4'
'x+1/2,y+1/2,z+1/2'
'-x+1/2,-y+1/2,-z+1/2'
'-y+3/4,x+1/4,z+3/4'
'y+3/4,-x+1/4,-z+3/4'
'-x,-y+1/2,z'
'x,y+1/2,-z'
'y+3/4,-x+3/4,z+1/4'
'-y+3/4,x+3/4,-z+1/4'
'x+1/2,-y+1/2,-z+1/2'
'-x+1/2,y+1/2,z+1/2'
'-y+3/4,-x+3/4,-z+1/4'
'y+3/4,x+3/4,z+1/4'
'-x,y+1/2,-z'
'x,-y+1/2,z'
'y+3/4,x+1/4,-z+3/4'
'-y+3/4,-x+1/4,z+3/4'
loop_
_atom_site_label
_atom_site_type_symbol
_atom_site_fract_x
_atom_site_fract_y
_atom_site_fract_z
Mg1 Mg 0.0000 0.2500 0.3750
Br1 Br 0.0000 0.2500 0.8750

---

(5)
# Tm6CdAg (PBE, relaxed)
# - offset from the most stable computed form (eV/f.u.) = 0.90
# - calculated volume (Å³/cell) = 216.1
# - mass density (g/cm3) = 9.48
data_Tm6CdAg
_symmetry_space_group_name_H-M 'P -1'
_symmetry_Int_Tables_number 2
_symmetry_space_group_name_Hall '-P 1'
_cell_length_a 6.0076
_cell_length_b 6.0078
_cell_length_c 6.0109
_cell_angle_alpha 92.81
_cell_angle_beta 92.80
_cell_angle_gamma 92.99
loop_
_atom_site_label
_atom_site_type_symbol
_atom_site_fract_x
_atom_site_fract_y
_atom_site_fract_z
Tm1 Tm 0.0225 0.2530 0.0428
Tm2 Tm 0.2468 0.9574 0.4764
Tm3 Tm 0.4578 0.4770 0.7469
Cd1 Cd 0.5000 0.0000 0.0000
Ag1 Ag 0.0000 0.5000 0.5000

---

(6)
# Ag3BrF2 (PBE, relaxed)
# - calculated volume (Å³/cell) = 218.7
# - formation energy (no corrections) (eV/atom) = -0.750
# - mass density (g/cm3) = 6.70
data_Ag3BrF2
_symmetry_space_group_name_H-M 'P 1'
_symmetry_Int_Tables_number 1
_symmetry_space_group_name_Hall 'P 1'
_cell_length_a 5.8337
_cell_length_b 6.7114
_cell_length_c 6.7140
_cell_angle_alpha 116.51
_cell_angle_beta 101.17
_cell_angle_gamma 101.17
loop_
_atom_site_label
_atom_site_type_symbol
_atom_site_fract_x
_atom_site_fract_y
_atom_site_fract_z
Ag1 Ag 0.0000 0.0000 0.0000
Ag2 Ag 0.9996 0.3165 0.6835
Ag3 Ag 0.1818 0.6585 0.3421
Ag4 Ag 0.6173 0.2434 0.9270
Ag5 Ag 0.6270 0.8396 0.2204
Ag6 Ag 0.6277 0.5373 0.5235
Br1 Br 0.3675 0.7872 0.8172
Br2 Br 0.3684 0.1341 0.4711
F1 F 0.2644 0.3534 0.0367
F2 F 0.8682 0.8720 0.5554
F3 F 0.8745 0.3114 0.2998
F4 F 0.8745 0.6168 0.9957